This record from Alexandria describes a relaxed NaIn6 crystal. The functional is PBE-GGA.

**Formation enthalpy at 0 K**: -11 meV per atom
**Space group**: P4/mmm
**Energy relative to the lowest polymorph listed for this composition**: 6 meV/atom
**Density of states at the Fermi level**: 1.9 states/eV per cell
**Calculated total energy**: -17.825 eV per formula unit

extended XYZ file:
```
7
Lattice="5.1533 0.0000 0.0000 0.0000 5.1533 0.0000 0.0000 0.0000 7.4160" Properties=species:S:1:pos:R:3 pbc="T T T"
Na 0.0000 0.0000 0.0000
In 0.0000 0.0000 3.7080
In 0.0000 2.5766 1.9764
In 0.0000 2.5766 5.4397
In 2.5766 0.0000 1.9764
In 2.5766 0.0000 5.4397
In 2.5766 2.5766 0.0000
```

=====

This record from Alexandria describes a relaxed NaIn4 crystal. The functional is PBE-GGA.

**Formation enthalpy at 0 K**: -58 meV per atom
**Space group**: Imma
**Density of states at the Fermi level**: 3.5 states/eV per cell
**Calculated total energy**: -12.563 eV per formula unit

extended XYZ file:
```
10
Lattice="-2.4132 3.2810 8.4232 2.4132 -3.2810 8.4232 2.4132 3.2810 -8.4232" Properties=species:S:1:pos:R:3 pbc="T T T"
Na 0.0000 1.6405 1.7197
Na 2.4132 1.6405 6.7035
In 2.4132 0.0000 0.0000
In 2.4132 -1.6405 6.6866
In 2.4132 -0.0135 3.2847
In 2.4132 3.2675 -3.2847
In 0.0000 0.0000 8.4232
In 0.0000 0.0135 11.7079
In 0.0000 3.2946 5.1386
In 0.0000 4.9216 1.7366
```

=====

This record from Alexandria describes a relaxed Na6In23 crystal. The functional is PBE-GGA.

**Formation enthalpy at 0 K**: -30 meV per atom
**Space group**: Fm-3m
**Density of states at the Fermi level**: 8.8 states/eV per cell
**Calculated total energy**: -71.776 eV per formula unit

extended XYZ file:
```
29
Lattice="0.0000 7.4762 7.4762 7.4762 0.0000 7.4762 7.4762 7.4762 0.0000" Properties=species:S:1:pos:R:3 pbc="T T T"
Na 7.4762 7.4762 3.0054
Na 7.4762 3.0054 7.4762
Na 11.9470 7.4762 7.4762
Na 3.0054 7.4762 7.4762
Na 7.4762 11.9470 7.4762
Na 7.4762 7.4762 11.9470
In 3.7381 3.7381 0.0000
In 3.7381 0.0000 3.7381
In 7.4762 3.7381 3.7381
In 9.2874 5.6651 5.6651
In 2.3917 2.3917 2.3917
In 5.0845 5.0845 2.3917
In 5.0845 2.3917 5.0845
In 5.6651 5.6651 5.6651
In 9.2874 9.2874 5.6651
In 9.2874 5.6651 9.2874
In 12.5607 9.8679 9.8679
In 0.0000 3.7381 3.7381
In 3.7381 7.4762 3.7381
In 3.7381 3.7381 7.4762
In 7.4762 7.4762 7.4762
In 2.3917 5.0845 5.0845
In 5.6651 9.2874 5.6651
In 5.6651 5.6651 9.2874
In 9.2874 9.2874 9.2874
In 9.8679 12.5607 9.8679
In 9.8679 9.8679 12.5607
In 12.5607 12.5607 12.5607
In 5.6651 9.2874 9.2874
```

=====

This record from Alexandria describes a relaxed Na6In7 crystal. The functional is PBE-GGA.

**Formation enthalpy at 0 K**: -115 meV per atom
**Space group**: R-3m
**Density of states at the Fermi level**: 2.9 states/eV per cell
**Calculated total energy**: -28.584 eV per formula unit

extended XYZ file:
```
13
Lattice="3.1779 1.8347 10.6956 -3.1779 1.8347 10.6956 0.0000 -3.6695 10.6956" Properties=species:S:1:pos:R:3 pbc="T T T"
Na 0.0000 0.0000 1.6704
Na 0.0000 0.0000 4.8887
Na 0.0000 0.0000 10.7251
Na 0.0000 0.0000 21.3617
Na 0.0000 0.0000 27.1981
Na 0.0000 0.0000 30.4164
In -1.6158 -0.9329 13.5433
In 0.0000 -1.8658 18.5435
In -1.6158 0.9329 18.5435
In 0.0000 0.0000 16.0434
In 1.6158 -0.9329 13.5433
In 0.0000 1.8658 13.5433
In 1.6158 0.9329 18.5436
```

=====

This record from Alexandria describes a relaxed Na2In3 crystal. The functional is PBE-GGA.

**Formation enthalpy at 0 K**: -87 meV per atom
**Space group**: Pbcn
**Energy relative to the lowest polymorph listed for this composition**: 0 meV/atom
**Density of states at the Fermi level**: 9.0 states/eV per cell
**Calculated total energy**: -11.290 eV per formula unit

extended XYZ file:
```
20
Lattice="6.2213 0.0000 0.0000 0.0000 8.6086 0.0000 0.0000 0.0000 10.5048" Properties=species:S:1:pos:R:3 pbc="T T T"
Na 0.6712 1.5467 0.8960
Na 0.6712 7.0619 6.1484
Na 2.4395 2.7576 6.1484
Na 2.4395 5.8510 0.8960
Na 3.7818 2.7576 9.6088
Na 3.7818 5.8510 4.3564
Na 5.5502 1.5467 4.3564
Na 5.5502 7.0619 9.6088
In 0.0000 1.2408 7.8786
In 0.0000 7.3677 2.6262
In 0.7418 4.0578 9.1715
In 0.7418 4.5508 3.9191
In 2.3689 0.2465 3.9191
In 2.3689 8.3621 9.1715
In 3.1107 3.0635 2.6262
In 3.1107 5.5451 7.8786
In 3.8524 0.2465 1.3332
In 3.8524 8.3621 6.5856
In 5.4796 4.0578 6.5856
In 5.4796 4.5508 1.3332
```

=====

This record from Alexandria describes a relaxed Na5In crystal. The functional is PBE-GGA.

**Formation enthalpy at 0 K**: -27 meV per atom
**Space group**: Cm
**Energy relative to the lowest polymorph listed for this composition**: 2 meV/atom
**Density of states at the Fermi level**: 2.4 states/eV per cell
**Calculated total energy**: -9.494 eV per formula unit

extended XYZ file:
```
6
Lattice="6.2683 -1.9343 0.0000 6.2683 1.9343 0.0000 -2.9215 0.0000 8.0634" Properties=species:S:1:pos:R:3 pbc="T T T"
Na 0.0000 0.0000 0.0000
Na -1.5705 0.0000 4.5435
Na 1.8574 0.0000 5.6550
Na 3.6392 0.0000 1.4424
Na 7.2631 0.0000 2.7763
In 5.8317 0.0000 7.0615
```

=====

This record from Alexandria describes a relaxed NaIn6 crystal. The functional is PBE-GGA.

**Formation enthalpy at 0 K**: -17 meV per atom
**Space group**: P4/nbm
**Energy relative to the lowest polymorph listed for this composition**: 0 meV/atom
**Density of states at the Fermi level**: 7.5 states/eV per cell
**Calculated total energy**: -17.868 eV per formula unit

extended XYZ file:
```
14
Lattice="6.7614 0.0000 0.0000 0.0000 6.7614 0.0000 0.0000 0.0000 8.8147" Properties=species:S:1:pos:R:3 pbc="T T T"
Na 1.6903 5.0710 0.0000
Na 5.0710 1.6903 0.0000
In 0.5410 3.9217 3.1302
In 0.5410 6.2204 5.6845
In 1.6903 1.6903 1.4348
In 1.6903 1.6903 7.3799
In 2.8397 3.9217 5.6845
In 2.8397 6.2204 3.1302
In 3.9217 0.5410 5.6845
In 3.9217 2.8397 3.1302
In 5.0710 5.0710 1.4348
In 5.0710 5.0710 7.3799
In 6.2204 0.5410 3.1302
In 6.2204 2.8397 5.6845
```

=====

This record from Alexandria describes a relaxed Na5In crystal. The functional is PBE-GGA.

**Formation enthalpy at 0 K**: -29 meV per atom
**Space group**: Cmmm
**Energy relative to the lowest polymorph listed for this composition**: 0 meV/atom
**Density of states at the Fermi level**: 2.7 states/eV per cell
**Calculated total energy**: -9.509 eV per formula unit

extended XYZ file:
```
6
Lattice="2.3563 -7.8052 0.0000 2.3563 7.8052 0.0000 0.0000 0.0000 5.2656" Properties=species:S:1:pos:R:3 pbc="T T T"
Na 0.0000 0.0000 0.0000
Na 2.3563 5.3568 2.6328
Na 2.3563 2.4571 0.0000
Na 2.3563 -2.4571 0.0000
Na 2.3563 -5.3568 2.6328
In 2.3563 0.0000 2.6328
```